1.
Compound: Mg4BiPbN
Source: Alexandria via LeMat-Bulk
Functional: GGA-PBE
Structure: relaxed

Values from the calculation:
The calculation puts the uncorrected formation energy at -27.6 kJ per mole of atoms. The value obtained for the density of states at the Fermi level is 10.12 states/eV/cell. As for the theoretical density: 5.95 g/cm3. The calculation puts the electronic total energy at -97.18 eV/cell.

abc: 6.1762 15.4529 6.1641
angles: 90.00 90.00 90.00
Closest atoms and distances in Å follow each position.
Space group Cmcm (No. 63)
Symmetry-distinct sites (fractional):
Mg: 0.0000 0.1097 0.2500  1 N 2.17
Mg: 0.0000 0.3891 0.2500  1 N 2.14
Mg: 0.2500 0.2500 0.0000  2 N 2.18
Bi: 0.0000 0.0919 0.7500  9 Mg 3.09-3.28
Pb: 0.0000 0.4170 0.7500  5 Mg 3.00-3.12
N: 0.0000 0.2503 0.2500  6 Mg 2.14-2.18

---

2.
Compound: RbMgBiN2
Source: Alexandria via LeMat-Bulk
Functional: GGA-PBE
Structure: relaxed

Values from the calculation:
The calculation puts the uncorrected formation energy at 133.3 kJ per mole of atoms. The value obtained for the density of states at the Fermi level is 4.21 states/eV/cell. As for the theoretical density: 5.25 g/cm3. The calculation puts the electronic total energy at -16.19 eV/cell.

abc: 4.5233 4.5233 5.3565
angles: 90.00 90.00 90.00
Closest atoms and distances in Å follow each position.
Space group P4/mmm (No. 123)
Symmetry-distinct sites (fractional):
Rb: 0.0000 0.0000 0.0000  4 Bi 3.20, 8 N 3.51
Mg: 0.5000 0.5000 0.5000  4 N 2.26
Bi: 0.5000 0.5000 0.0000  2 Mg 2.68
N: 0.0000 0.5000 0.5000  2 Mg 2.26

---

3.
Compound: MgBiRhN2
Source: Alexandria via LeMat-Bulk
Functional: GGA-PBE
Structure: relaxed

Values from the calculation:
The calculation puts the uncorrected formation energy at 193.0 kJ per mole of atoms. The value obtained for the density of states at the Fermi level is 2.06 states/eV/cell. As for the theoretical density: 4.96 g/cm3. The calculation puts the electronic total energy at -19.48 eV/cell.

abc: 4.2208 4.2208 6.8436
angles: 90.00 90.00 90.00
Closest atoms and distances in Å follow each position.
Space group P4/mmm (No. 123)
Symmetry-distinct sites (fractional):
Mg: 0.0000 0.0000 0.0000  4 Rh 2.98
Bi: 0.0000 0.0000 0.5000  4 N 2.11
Rh: 0.5000 0.5000 0.0000  4 Mg 2.98
N: 0.0000 0.5000 0.5000  2 Bi 2.11